Below is a crystal of YTi2NiAs relaxed with PBEsol, with properties calculated at the meta-GGA SCAN level.

a b c (Å): 4.436 4.436 5.152
angles (deg): 90.00 90.00 90.00
Fractional positions:
Y 0.000 0.000 0.000
Ti 0.000 0.500 0.500
Ti 0.500 0.000 0.500
Ni 0.000 0.000 0.500
As 0.500 0.500 0.000

Results
The energy of formation from the pure elements is -0.10 eV/atom.

=====

Below is a crystal of AlRe2Rh relaxed with PBEsol, with properties calculated at the meta-GGA SCAN level.

a b c (Å): 2.689 2.689 7.789
angles (deg): 90.00 90.00 90.00
Fractional positions:
Al 0.000 0.000 0.000
Re 0.500 0.500 0.252
Re 0.500 0.500 0.748
Rh 0.000 0.000 0.500

Results
The energy of formation from the pure elements is -0.08 eV/atom.

=====

Below is a crystal of CrTcTeW2 relaxed with PBEsol, with properties calculated at the meta-GGA SCAN level.

a b c (Å): 4.820 4.820 4.717
angles (deg): 90.00 90.00 90.00
Fractional positions:
Cr 0.000 0.000 0.000
Tc 0.500 0.500 0.000
Te 0.500 0.500 0.500
W 0.000 0.500 0.500
W 0.500 0.000 0.500

Results
The value obtained for the uncorrected formation energy is 2417 meV per atom.

=====

Below is a crystal of Ca2CdCo relaxed with PBEsol, with properties calculated at the meta-GGA SCAN level.

a b c (Å): 4.996 4.996 3.661
angles (deg): 90.00 90.00 90.00
Fractional positions:
Ca 0.000 0.500 0.000
Ca 0.500 0.000 0.000
Cd 0.000 0.000 0.500
Co 0.500 0.500 0.500

Results
The energy of formation from the pure elements is 0.02 eV/atom.

=====

Below is a crystal of Ti3TlPb relaxed with PBEsol, with properties calculated at the meta-GGA SCAN level.

a b c (Å): 5.053 5.053 5.053
angles (deg): 90.00 90.00 90.00
Fractional positions:
Ti 0.000 0.000 0.500
Ti 0.000 0.500 0.000
Ti 0.500 0.000 0.000
Tl 0.500 0.500 0.500
Pb 0.000 0.000 0.000

Results
The energy of formation from the pure elements is 0.92 eV/atom.

=====

Below is a crystal of TiGe3I relaxed with PBEsol, with properties calculated at the meta-GGA SCAN level.

a b c (Å): 5.273 5.273 5.273
angles (deg): 90.00 90.00 90.00
Fractional positions:
Ti 0.000 0.000 0.000
Ge 0.000 0.500 0.500
Ge 0.500 0.000 0.500
Ge 0.500 0.500 0.000
I 0.500 0.500 0.500

Results
The value obtained for the uncorrected formation energy is 1480 meV per atom.

=====

Below is a crystal of MnZn2Ir relaxed with PBEsol, with properties calculated at the meta-GGA SCAN level.

a b c (Å): 4.227 4.227 4.227
angles (deg): 60.00 60.00 60.00
Fractional positions:
Mn 0.000 0.000 0.000
Zn 0.500 0.500 0.500
Zn 0.750 0.750 0.750
Ir 0.250 0.250 0.250

Results
The energy of formation from the pure elements is -0.28 eV/atom.

=====

Below is a crystal of CaMgB3 relaxed with PBEsol, with properties calculated at the meta-GGA SCAN level.

a b c (Å): 4.306 4.306 4.306
angles (deg): 90.00 90.00 90.00
Fractional positions:
Ca 0.000 0.000 0.000
Mg 0.500 0.500 0.500
B 0.000 0.500 0.500
B 0.500 0.000 0.500
B 0.500 0.500 0.000

Results
As for the energy above the lowest structure with this stoichiometry: 0 meV per atom. The energy of formation from the pure elements is 1.52 eV/atom.

=====

Below is a crystal of KBiPd2 relaxed with PBEsol, with properties calculated at the meta-GGA SCAN level.

a b c (Å): 6.425 6.425 6.425
angles (deg): 105.09 105.09 118.64
Fractional positions:
K 0.000 0.000 0.000
K 0.750 0.250 0.500
Bi 0.250 0.750 0.500
Bi 0.500 0.500 0.000
Pd 0.172 0.625 0.047
Pd 0.375 0.422 0.547
Pd 0.578 0.125 0.953
Pd 0.875 0.828 0.453

Results
The energy of formation from the pure elements is 0.11 eV/atom.

=====

Below is a crystal of HfFe3Os relaxed with PBEsol, with properties calculated at the meta-GGA SCAN level.

a b c (Å): 4.326 4.326 4.326
angles (deg): 90.00 90.00 90.00
Fractional positions:
Hf 0.000 0.000 0.000
Fe 0.000 0.000 0.500
Fe 0.000 0.500 0.000
Fe 0.500 0.000 0.000
Os 0.500 0.500 0.500

Results
The energy of formation from the pure elements is 2.03 eV/atom.

=====

Below is a crystal of BaLaHg relaxed with PBEsol, with properties calculated at the meta-GGA SCAN level.

a b c (Å): 7.493 7.493 7.493
angles (deg): 149.22 149.22 44.08
Fractional positions:
Ba 0.000 0.000 0.000
La 0.727 0.727 0.000
Hg 0.338 0.338 0.000

Results
The energy of formation from the pure elements is -0.42 eV/atom.

=====

Below is a crystal of LaBeCd4 relaxed with PBEsol, with properties calculated at the meta-GGA SCAN level.

a b c (Å): 5.750 5.750 5.750
angles (deg): 60.00 60.00 60.00
Fractional positions:
La 0.000 0.000 0.000
Be 0.250 0.250 0.250
Cd 0.126 0.625 0.625
Cd 0.625 0.126 0.625
Cd 0.625 0.625 0.126
Cd 0.625 0.625 0.625

Results
The energy of formation from the pure elements is 0.13 eV/atom.

=====

Below is a crystal of NaDyCl4 relaxed with PBEsol, with properties calculated at the meta-GGA SCAN level.

a b c (Å): 6.519 6.653 6.937
angles (deg): 88.90 87.95 78.54
Fractional positions:
Na 0.228 0.193 0.041
Na 0.772 0.807 0.959
Dy 0.209 0.700 0.445
Dy 0.791 0.300 0.555
Cl 0.050 0.498 0.743
Cl 0.094 0.997 0.708
Cl 0.391 0.787 0.130
Cl 0.432 0.312 0.384
Cl 0.568 0.688 0.616
Cl 0.609 0.213 0.870
Cl 0.906 0.003 0.292
Cl 0.950 0.502 0.257

Results
The value obtained for the uncorrected formation energy is -2366 meV per atom.

=====

Below is a crystal of ZrCdOs2 relaxed with PBEsol, with properties calculated at the meta-GGA SCAN level.

a b c (Å): 5.330 5.330 5.330
angles (deg): 145.84 127.23 64.37
Fractional positions:
Zr 0.000 0.000 0.000
Cd 0.500 0.500 0.000
Os 0.240 0.740 0.500
Os 0.760 0.260 0.500

Results
The energy of formation from the pure elements is 0.24 eV/atom.

=====

Below is a crystal of ReTcPt2 relaxed with PBEsol, with properties calculated at the meta-GGA SCAN level.

a b c (Å): 2.731 2.731 7.811
angles (deg): 90.00 90.00 90.00
Fractional positions:
Re 0.000 0.000 0.000
Tc 0.500 0.500 0.232
Pt 0.000 0.000 0.482
Pt 0.500 0.500 0.750

Results
As for the energy above the lowest structure with this stoichiometry: 9 meV per atom. The energy of formation from the pure elements is -0.16 eV/atom.

=====

Below is a crystal of Hf3PbS relaxed with PBEsol, with properties calculated at the meta-GGA SCAN level.

a b c (Å): 4.745 4.745 4.745
angles (deg): 90.00 90.00 90.00
Fractional positions:
Hf 0.000 0.000 0.500
Hf 0.000 0.500 0.000
Hf 0.500 0.000 0.000
Pb 0.500 0.500 0.500
S 0.000 0.000 0.000

Results
The value obtained for the uncorrected formation energy is -277 meV per atom.

=====

Below is a crystal of YAl2In relaxed with PBEsol, with properties calculated at the meta-GGA SCAN level.

a b c (Å): 4.361 4.361 4.277
angles (deg): 90.00 90.00 90.00
Fractional positions:
Y 0.000 0.000 0.000
Al 0.000 0.500 0.500
Al 0.500 0.000 0.500
In 0.500 0.500 0.000

Results
The energy of formation from the pure elements is -0.44 eV/atom.

=====

Below is a crystal of ScBe2Al relaxed with PBEsol, with properties calculated at the meta-GGA SCAN level.

a b c (Å): 2.833 2.833 6.664
angles (deg): 90.00 90.00 90.00
Fractional positions:
Sc 0.000 0.000 0.000
Be 0.000 0.000 0.568
Be 0.500 0.500 0.719
Al 0.500 0.500 0.328

Results
The energy of formation from the pure elements is -0.01 eV/atom.

=====

Below is a crystal of AlSb2Ir relaxed with PBEsol, with properties calculated at the meta-GGA SCAN level.

a b c (Å): 3.230 3.230 7.714
angles (deg): 90.00 90.00 90.00
Fractional positions:
Al 0.000 0.000 0.000
Sb 0.000 0.000 0.383
Sb 0.500 0.500 0.759
Ir 0.500 0.500 0.155

Results
The value obtained for the uncorrected formation energy is -135 meV per atom.

=====

Below is a crystal of Ta2TiBe2 relaxed with PBEsol, with properties calculated at the meta-GGA SCAN level.

a b c (Å): 6.407 6.407 3.315
angles (deg): 90.00 90.00 90.00
Fractional positions:
Ta 0.178 0.322 0.000
Ta 0.322 0.822 0.000
Ta 0.678 0.178 0.000
Ta 0.822 0.678 0.000
Ti 0.000 0.000 0.500
Ti 0.500 0.500 0.500
Be 0.115 0.615 0.500
Be 0.385 0.115 0.500
Be 0.615 0.885 0.500
Be 0.885 0.385 0.500

Results
The energy of formation from the pure elements is -0.07 eV/atom.

=====

Below is a crystal of FeAg2Te relaxed with PBEsol, with properties calculated at the meta-GGA SCAN level.

a b c (Å): 5.641 5.641 5.641
angles (deg): 146.47 134.96 57.30
Fractional positions:
Fe 0.000 0.000 0.000
Ag 0.228 0.728 0.500
Ag 0.772 0.272 0.500
Te 0.500 0.500 0.000

Results
The value obtained for the uncorrected formation energy is 348 meV per atom.

=====

Below is a crystal of Cr2CoPb relaxed with PBEsol, with properties calculated at the meta-GGA SCAN level.

a b c (Å): 3.089 3.088 5.955
angles (deg): 90.00 90.07 90.00
Fractional positions:
Cr 0.000 0.000 0.000
Cr 0.498 0.500 0.186
Co 0.499 0.500 0.760
Pb 0.999 0.000 0.502

Results
The energy of formation from the pure elements is 0.38 eV/atom.

=====

Below is a crystal of BeCdAs2 relaxed with PBEsol, with properties calculated at the meta-GGA SCAN level.

a b c (Å): 4.498 4.498 3.667
angles (deg): 90.00 90.00 107.20
Fractional positions:
Be 0.000 0.000 0.000
Cd 0.500 0.500 0.000
As 0.000 0.500 0.500
As 0.500 0.000 0.500

Results
As for the energy above the lowest structure with this stoichiometry: 0 meV per atom. The energy of formation from the pure elements is 0.46 eV/atom.

=====

Below is a crystal of ScCd2Os relaxed with PBEsol, with properties calculated at the meta-GGA SCAN level.

a b c (Å): 5.181 5.181 4.749
angles (deg): 111.45 111.45 37.78
Fractional positions:
Sc 0.000 0.000 0.000
Cd 0.226 0.226 0.683
Cd 0.473 0.473 0.476
Os 0.726 0.726 0.177

Results
As for the energy above the lowest structure with this stoichiometry: 0 meV per atom. The energy of formation from the pure elements is 0.05 eV/atom.

=====

Below is a crystal of LaMnSi relaxed with PBEsol, with properties calculated at the meta-GGA SCAN level.

a b c (Å): 3.992 3.992 7.402
angles (deg): 90.00 90.00 90.00
Fractional positions:
La 0.250 0.250 0.176
La 0.750 0.750 0.824
Mn 0.250 0.750 0.500
Mn 0.750 0.250 0.500
Si 0.250 0.250 0.676
Si 0.750 0.750 0.324

Results
The value obtained for the uncorrected formation energy is -567 meV per atom.

=====

Below is a crystal of ZnCd2Rh relaxed with PBEsol, with properties calculated at the meta-GGA SCAN level.

a b c (Å): 5.164 5.164 5.164
angles (deg): 140.38 131.07 64.70
Fractional positions:
Zn 0.000 0.000 0.000
Cd 0.255 0.755 0.500
Cd 0.525 0.525 0.000
Rh 0.785 0.285 0.500

Results
The energy of formation from the pure elements is -0.14 eV/atom.

=====

Below is a crystal of CaIn2P relaxed with PBEsol, with properties calculated at the meta-GGA SCAN level.

a b c (Å): 3.753 3.753 6.537
angles (deg): 90.00 90.00 90.00
Fractional positions:
Ca 0.000 0.000 0.000
In 0.000 0.000 0.545
In 0.500 0.500 0.307
P 0.500 0.500 0.743

Results
The energy of formation from the pure elements is -0.34 eV/atom.

=====

Below is a crystal of Cs2Ga2Cl relaxed with PBEsol, with properties calculated at the meta-GGA SCAN level.

a b c (Å): 11.110 11.110 11.110
angles (deg): 159.83 159.83 28.68
Fractional positions:
Cs 0.095 0.095 0.000
Cs 0.905 0.905 0.000
Ga 0.250 0.750 0.500
Ga 0.750 0.250 0.500
Cl 0.500 0.500 0.000

Results
The value obtained for the uncorrected formation energy is -821 meV per atom.

=====

Below is a crystal of BeCu3 relaxed with PBEsol, with properties calculated at the meta-GGA SCAN level.

a b c (Å): 4.509 4.509 3.883
angles (deg): 115.07 115.07 36.15
Fractional positions:
Be 0.000 0.000 0.000
Cu 0.270 0.270 0.769
Cu 0.500 0.500 0.500
Cu 0.730 0.730 0.231

Results
The energy of formation from the pure elements is -0.07 eV/atom.

=====

So what do the calculations give for total magnetization? Going down the list: 0.89; 0.00; 3.66; 1.01; 3.11; 2.43; 3.87; 0.00; 0.00; 7.90; 0.58; 0.00; 0.00; 0.00; 0.00; 0.00; 0.00; 0.54; 0.00; 0.00; 2.78; 0.98; 0.00; 0.00; 1.83; 0.00; 0.00; 0.00; 0.00 μB/f.u..
So what do the calculations give for volume? Going down the list: 101.36; 56.34; 109.57; 91.38; 129.05; 146.61; 53.40; 79.86; 200.21; 80.98; 109.84; 134.43; 294.68; 66.90; 58.25; 106.86; 81.36; 53.49; 80.46; 136.08; 69.62; 56.81; 70.87; 72.02; 117.95; 65.30; 92.07; 162.98; 41.70 Å³ per cell.
So what do the calculations give for Fermi-level density of states? Going down the list: 3.8; 4.1; 6.4; 4.7; 5.0; 4.1; 2.0; 2.8; 3.1; 7.4; 2.9; 1.7; 0.0; 2.4; 2.8; 3.7; 1.4; 1.4; 2.4; 12.7; 1.9; 1.9; 1.5; 1.8; 3.4; 1.2; 1.4; 1.6; 1.1 states/eV per cell.